(1)
{"formula": "Te2W3", "functional": "GGA-PBE", "state": "optimized geometry", "cell": [[6.9419, 0.0000, 0.0000], [0.0000, 4.2343, 0.0000], [-0.3977, 0.0000, 7.3079]], "species": ["Te", "Te", "Te", "Te", "W", "W", "W", "W", "W", "W"], "fractional_positions": [[0.6503, 0.7500, 0.1240], [0.3206, 0.2500, 0.3780], [0.6794, 0.7500, 0.6220], [0.3497, 0.2500, 0.8760], [0.0291, 0.2500, 0.0935], [0.9966, 0.7500, 0.3389], [0.7560, 0.2500, 0.3686], [0.2440, 0.7500, 0.6314], [0.0034, 0.2500, 0.6611], [0.9709, 0.7500, 0.9065]], "crystal_system": "monoclinic", "vol_a3_per_atom": 21.48, "dft_energy_ev_per_atom": -8.60, "magmom_total_mub_per_fu": 0.0}

(2)
{"formula": "TeW", "functional": "GGA-PBE", "state": "optimized geometry", "cell": [[0.0000, 2.8277, 2.8277], [2.8277, 0.0000, 2.8277], [2.8277, 2.8277, 0.0000]], "species": ["Te", "W"], "fractional_positions": [[0.0000, 0.0000, 0.0000], [0.5000, 0.5000, 0.5000]], "crystal_system": "cubic", "vol_a3_per_atom": 22.61, "dft_energy_ev_per_atom": -6.63, "magmom_total_mub_per_fu": 2.1}

(3)
{"formula": "YTeW2", "functional": "GGA-PBE", "state": "optimized geometry", "cell": [[0.0000, 3.4215, 3.4215], [3.4215, 0.0000, 3.4215], [3.4215, 3.4215, 0.0000]], "species": ["Te", "W", "W", "Y"], "fractional_positions": [[0.5000, 0.5000, 0.5000], [0.0000, 0.0000, 0.0000], [0.2500, 0.2500, 0.2500], [0.7500, 0.7500, 0.7500]], "crystal_system": "cubic", "vol_a3_per_atom": 20.03, "dft_energy_ev_per_atom": -8.24, "magmom_total_mub_per_fu": 0.1}

(4)
{"formula": "YTeW", "functional": "GGA-PBE", "state": "optimized geometry", "cell": [[0.0000, 3.4888, 3.4888], [3.4888, 0.0000, 3.4888], [3.4888, 3.4888, 0.0000]], "species": ["Te", "W", "Y"], "fractional_positions": [[0.5000, 0.5000, 0.5000], [0.0000, 0.0000, 0.0000], [0.2500, 0.2500, 0.2500]], "crystal_system": "cubic", "vol_a3_per_atom": 28.31, "dft_energy_ev_per_atom": -6.41, "magmom_total_mub_per_fu": 2.6}

(5)
{"formula": "YTeW", "functional": "GGA-PBE", "state": "optimized geometry", "cell": [[0.0000, 3.3395, 3.3395], [3.3395, 0.0000, 3.3395], [3.3395, 3.3395, 0.0000]], "species": ["Te", "W", "Y"], "fractional_positions": [[0.2500, 0.2500, 0.2500], [0.0000, 0.0000, 0.0000], [0.7500, 0.7500, 0.7500]], "crystal_system": "cubic", "vol_a3_per_atom": 24.83, "dft_energy_ev_per_atom": -6.91, "magmom_total_mub_per_fu": 1.2}

(6)
{"formula": "ZnTeW2", "functional": "GGA-PBE", "state": "optimized geometry", "cell": [[0.0000, 3.2728, 3.2728], [3.2728, 0.0000, 3.2728], [3.2728, 3.2728, 0.0000]], "species": ["Te", "W", "W", "Zn"], "fractional_positions": [[0.7500, 0.7500, 0.7500], [0.0000, 0.0000, 0.0000], [0.2500, 0.2500, 0.2500], [0.5000, 0.5000, 0.5000]], "crystal_system": "cubic", "vol_a3_per_atom": 17.53, "dft_energy_ev_per_atom": -6.86, "magmom_total_mub_per_fu": 0.0}